## SrLi2CuSi (PBE-GGA)

Data for a relaxed structure of SrLi2CuSi.

Uncorrected formation energy ... -0.1088 eV per atom
Energy ... -15.6 eV per cell

a = 4.851 Å, b = 4.851 Å, c = 4.550 Å
α = 90.00°, β = 90.00°, γ = 90.00°
Positions (direct):
Sr  0.000  0.000  0.000
Li  0.000  0.500  0.500
Li  0.500  0.000  0.500
Cu  0.500  0.500  0.000
Si  0.500  0.500  0.500

=====

## Sr2LiCuSi2 (PBE-GGA)

Data for a relaxed structure of Sr2LiCuSi2.

Uncorrected formation energy ... -0.3098 eV per atom
Energy ... -44.2 eV per cell

a = 8.260 Å, b = 8.260 Å, c = 8.260 Å
α = 135.10°, β = 65.08°, γ = 135.49°
Positions (direct):
Sr  0.162  0.243  0.404
Sr  0.338  0.743  0.081
Sr  0.662  0.257  0.919
Sr  0.838  0.757  0.596
Li  0.250  0.250  0.000
Li  0.750  0.750  0.000
Cu  0.250  0.750  0.500
Cu  0.750  0.250  0.500
Si  0.092  0.725  0.818
Si  0.408  0.225  0.633
Si  0.592  0.775  0.367
Si  0.908  0.275  0.182